1.
# TiSO2 | the Alexandria database | PBE | relaxed
data_TiSO2
_symmetry_space_group_name_H-M 'R -3 m'
_symmetry_Int_Tables_number 166
_symmetry_space_group_name_Hall '-R 3 2"'
_cell_length_a 2.9457
_cell_length_b 2.9457
_cell_length_c 18.7375
_cell_angle_alpha 90.00
_cell_angle_beta 90.00
_cell_angle_gamma 120.00
loop_
_atom_site_label
_atom_site_type_symbol
_atom_site_fract_x
_atom_site_fract_y
_atom_site_fract_z
Ti1 Ti 0.0000 0.0000 0.0000
S1 S 0.0000 0.0000 0.5000
O1 O 0.0000 0.0000 0.3932
# * uncorrected energy: -84.14 eV for the cell shown
# * E_form (uncorrected): -1.527 eV per atom
# * magnetization: 0.000 Bohr magnetons per cell
# * DOS at the Fermi energy: 0.798 states/eV/atom



2.
# Ti3S3O | the Alexandria database | PBE | relaxed
data_Ti3S3O
_symmetry_space_group_name_H-M 'P 63/m m c'
_symmetry_Int_Tables_number 194
_symmetry_space_group_name_Hall '-P 6c 2c'
_cell_length_a 7.4864
_cell_length_b 7.4864
_cell_length_c 4.8620
_cell_angle_alpha 90.00
_cell_angle_beta 90.00
_cell_angle_gamma 120.00
loop_
_atom_site_label
_atom_site_type_symbol
_atom_site_fract_x
_atom_site_fract_y
_atom_site_fract_z
Ti1 Ti 0.1817 0.3634 0.2500
S1 S 0.1881 0.3761 0.7500
O1 O 0.3333 0.6667 0.2500
# * uncorrected energy: -104.22 eV for the cell shown
# * E_form (uncorrected): -1.583 eV per atom
# * magnetization: 0.000 Bohr magnetons per cell
# * DOS at the Fermi energy: 0.788 states/eV/atom



3.
# TiSO6 | the Alexandria database | PBE | relaxed
data_TiSO6
_symmetry_space_group_name_H-M 'C 1 2/m 1'
_symmetry_Int_Tables_number 12
_symmetry_space_group_name_Hall '-C 2y'
_cell_length_a 4.551
_cell_length_b 9.475
_cell_length_c 4.530
_cell_angle_alpha 90.00
_cell_angle_beta 102.92
_cell_angle_gamma 90.00
loop_
_atom_site_label
_atom_site_type_symbol
_atom_site_fract_x
_atom_site_fract_y
_atom_site_fract_z
Ti1 Ti 0.000 0.000 0.000
S1 S 0.000 0.500 0.500
O1 O 0.206 0.379 0.712
O2 O 0.232 0.500 0.274
# * uncorrected energy: -101.15 eV for the cell shown
# * E_form (uncorrected): -1.101 eV per atom
# * magnetization: 3.275 Bohr magnetons per cell
# * DOS at the Fermi energy: 0.624 states/eV/atom